Record 1
The following is a GGA-PBE calculation of a geometry-optimized SbW2 structure, from Alexandria.

```
SbW2
1.0
-1.602 1.602 11.211
1.602 -1.602 11.211
1.602 1.602 -11.211
Sb W
2 4
direct
0.375 0.625 0.750
0.625 0.375 0.250
0.044 0.794 0.250
0.206 0.956 0.250
0.794 0.044 0.750
0.956 0.206 0.750
```

Values from the calculation:
Formation energy from raw total energies: 90.4 kJ/mol of atoms
D(E_F): 0.80 states/eV/atom
Calculated volume: 19.17 Å³ per atom
Calculated total energy: -27.22 eV per formula unit

---

Record 2
The following is a GGA-PBE calculation of a geometry-optimized SbW structure, from Alexandria.

```
SbW
1.0
4.375 0.000 0.000
-2.187 3.789 0.000
0.000 0.000 12.154
Sb W
4 4
direct
0.333 0.667 0.109
0.333 0.667 0.391
0.667 0.333 0.609
0.667 0.333 0.891
0.000 0.000 0.250
0.000 0.000 0.750
0.333 0.667 0.750
0.667 0.333 0.250
```

Values from the calculation:
Formation energy from raw total energies: 65.4 kJ/mol of atoms
D(E_F): 0.71 states/eV/atom
Calculated volume: 25.18 Å³ per atom
Calculated total energy: -15.72 eV per formula unit

---

Record 3
The following is a GGA-PBE calculation of a geometry-optimized SbW structure, from Alexandria.

```
SbW
1.0
3.749 0.000 0.000
0.000 3.749 0.000
0.000 0.000 6.850
Sb W
2 2
direct
0.250 0.250 0.185
0.750 0.750 0.815
0.250 0.750 0.500
0.750 0.250 0.500
```

Values from the calculation:
Formation energy from raw total energies: 45.0 kJ/mol of atoms
D(E_F): 0.48 states/eV/atom
Calculated volume: 24.07 Å³ per atom
Calculated total energy: -16.14 eV per formula unit